A plane-wave DFT calculation with PBE was carried out for a geometry-optimized ZnGeIrRh structure.

The structure in CIF format:
```
data_ZnGeIrRh
_symmetry_space_group_name_H-M 'P 1'
_symmetry_Int_Tables_number 1
_cell_length_a 4.3027
_cell_length_b 4.3027
_cell_length_c 4.3027
_cell_angle_alpha 60.00
_cell_angle_beta 60.00
_cell_angle_gamma 60.00
loop_
_symmetry_equiv_pos_as_xyz
'x,y,z'
loop_
_atom_site_label
_atom_site_fract_x
_atom_site_fract_y
_atom_site_fract_z
Ge1 0.2500 0.2500 0.2500
Ir1 0.0000 0.0000 0.0000
Rh1 0.5000 0.5000 0.5000
Zn1 0.7500 0.7500 0.7500
```

## Properties
magnetic moment: 0.00 μB/cell
formation energy from the elements: -349 meV/atom

***

A plane-wave DFT calculation with PBE was carried out for a geometry-optimized Tb8Sm2Y structure.

The structure in CIF format:
```
data_Tb8Sm2Y
_symmetry_space_group_name_H-M 'P 1'
_symmetry_Int_Tables_number 1
_cell_length_a 6.6748
_cell_length_b 10.2429
_cell_length_c 10.2429
_cell_angle_alpha 38.09
_cell_angle_beta 59.42
_cell_angle_gamma 59.42
loop_
_symmetry_equiv_pos_as_xyz
'x,y,z'
loop_
_atom_site_label
_atom_site_fract_x
_atom_site_fract_y
_atom_site_fract_z
Tb1 0.2294 0.3516 0.8259
Tb2 0.7706 0.1741 0.6484
Tb3 0.1800 0.7564 0.7564
Tb4 0.8200 0.2436 0.2436
Tb5 0.2294 0.8259 0.3516
Tb6 0.7706 0.6484 0.1741
Tb7 0.7299 0.5885 0.5885
Tb8 0.2701 0.4115 0.4115
Sm1 0.6028 0.7992 0.7992
Sm2 0.3972 0.2008 0.2008
Y1 0.0000 0.0000 0.0000
```

## Properties
magnetic moment: 0.00 μB/cell
formation energy from the elements: 161 meV/atom
ΔE to the lowest computed polymorph: 0.50 eV/f.u.

***

A plane-wave DFT calculation with PBE was carried out for a geometry-optimized Rb2Ag2Cl5 structure.

The structure in CIF format:
```
data_Rb2Ag2Cl5
_symmetry_space_group_name_H-M 'P 1'
_symmetry_Int_Tables_number 1
_cell_length_a 5.0686
_cell_length_b 5.0686
_cell_length_c 10.5467
_cell_angle_alpha 90.00
_cell_angle_beta 90.00
_cell_angle_gamma 90.00
loop_
_symmetry_equiv_pos_as_xyz
'x,y,z'
loop_
_atom_site_label
_atom_site_fract_x
_atom_site_fract_y
_atom_site_fract_z
Rb1 0.0000 0.0000 0.0000
Rb2 0.0000 0.0000 0.5000
Ag1 0.5000 0.5000 0.2424
Ag2 0.5000 0.5000 0.7576
Cl1 0.5000 0.0000 0.2106
Cl2 0.5000 0.0000 0.7894
Cl3 0.5000 0.5000 0.5000
Cl4 0.0000 0.5000 0.2106
Cl5 0.0000 0.5000 0.7894
```

## Properties
magnetic moment: 0.00 μB/cell
formation energy from raw total energies: -1.126 eV/atom

***

A plane-wave DFT calculation with PBE was carried out for a geometry-optimized As4Ru structure.

The structure in CIF format:
```
data_As4Ru
_symmetry_space_group_name_H-M 'P 1'
_symmetry_Int_Tables_number 1
_cell_length_a 5.7703
_cell_length_b 6.4521
_cell_length_c 10.9790
_cell_angle_alpha 36.27
_cell_angle_beta 72.16
_cell_angle_gamma 61.74
loop_
_symmetry_equiv_pos_as_xyz
'x,y,z'
loop_
_atom_site_label
_atom_site_fract_x
_atom_site_fract_y
_atom_site_fract_z
As1 0.7506 0.3541 0.8665
As2 0.3930 0.0052 0.3127
As3 0.0039 0.1238 0.6300
As4 0.6070 0.9948 0.6873
As5 0.6629 0.3903 0.3172
As6 0.9961 0.8762 0.3700
As7 0.3371 0.6097 0.6828
As8 0.2494 0.6459 0.1335
Ru1 0.1747 0.2368 0.7475
Ru2 0.8253 0.7632 0.2525
```

## Properties
magnetic moment: 0.00 μB/cell
formation energy from the elements: -131 meV/atom
ΔE to the lowest computed polymorph: 0.00 eV/f.u.